## Cs3TlCu2Cl9 (PBE)

Data for Cs3TlCu2Cl9 after structural relaxation.

Computed properties:
Total DFT energy (no corrections) (eV per atom): -3.149
Theoretical density (kg/m³): 4251

Lattice parameters (Å, degrees): 7.2734 7.2734 8.9461 90.00 90.00 120.00
With the nearest neighbours (Å) after each atom.
Fractional positions:
Cs1 0.3333 0.6667 0.6718  12 Cl 3.61-3.72
Cs2 0.0000 0.0000 0.0000  12 Cl 3.62-3.64
Cs3 0.6667 0.3333 0.3282  12 Cl 3.61-3.72
Tl1 0.0000 0.0000 0.5000  6 Cl 2.74
Cu1 0.3333 0.6667 0.1505  6 Cl 2.49-2.50
Cu2 0.6667 0.3333 0.8495  6 Cl 2.49-2.50
Cl1 0.8241 0.1759 0.6795  1 Cu 2.50, 1 Tl 2.74
Cl2 0.8241 0.6481 0.6795  1 Cu 2.50, 1 Tl 2.74
Cl3 0.3519 0.1759 0.6795  1 Cu 2.50, 1 Tl 2.74
Cl4 0.6481 0.8241 0.3205  1 Cu 2.50, 1 Tl 2.74
Cl5 0.1759 0.3519 0.3205  1 Cu 2.50, 1 Tl 2.74
Cl6 0.1759 0.8241 0.3205  1 Cu 2.50, 1 Tl 2.74
Cl7 0.5000 0.0000 0.0000  2 Cu 2.49
Cl8 0.0000 0.5000 0.0000  2 Cu 2.49
Cl9 0.5000 0.5000 0.0000  2 Cu 2.49

=====

## TcSn6Sb (PBE)

Data for TcSn6Sb after structural relaxation.

Computed properties:
Total DFT energy (no corrections) (eV per atom): -4.659
Theoretical density (kg/m³): 6831

Lattice parameters (Å, degrees): 6.5084 6.5106 7.2279 63.24 63.24 60.00
With the nearest neighbours (Å) after each atom.
Fractional positions:
Tc1 0.0000 0.0000 0.0000  6 Sn 2.64
Sn1 0.9909 0.4433 0.7315  1 Tc 2.64
Sn2 0.8343 0.9910 0.7313  1 Tc 2.64
Sn3 0.5567 0.1656 0.2687  1 Tc 2.64
Sn4 0.1657 0.0090 0.2687  1 Tc 2.64
Sn5 0.0091 0.5567 0.2685  1 Tc 2.64
Sn6 0.4433 0.8344 0.7313  1 Tc 2.64
Sb1 0.5000 0.5000 0.5000  6 Sn 3.10

=====

## LaCrAu3 (PBE)

Data for LaCrAu3 after structural relaxation.

Computed properties:
Polymorph energy (0 for the lowest one) (eV per atom): 0.6106
Total DFT energy (no corrections) (eV per atom): -4.155
Theoretical density (kg/m³): 7450
ΔH_f (0 K) (eV/atom): 0.72

Lattice parameters (Å, degrees): 5.5854 5.5854 5.5854 90.00 90.00 90.00
With the nearest neighbours (Å) after each atom.
Fractional positions:
Cr1 0.5000 0.5000 0.5000  12 Au 3.95
Au1 0.0000 0.5000 0.0000  2 La 2.79
Au2 0.0000 0.0000 0.5000  2 La 2.79
Au3 0.5000 0.0000 0.0000  2 La 2.79
La1 0.0000 0.0000 0.0000  6 Au 2.79

=====

## TcSb2S (PBE)

Data for TcSb2S after structural relaxation.

Computed properties:
Total DFT energy (no corrections) (eV per atom): -5.230
Theoretical density (kg/m³): 5491

Lattice parameters (Å, degrees): 6.1745 6.1745 7.3609 65.20 65.20 90.00
With the nearest neighbours (Å) after each atom.
Fractional positions:
Sb1 0.6539 0.1250 0.2500  2 Tc 2.54, 2 S 2.75
Sb2 0.0961 0.6250 0.2500  2 Tc 2.54, 2 S 2.75
Sb3 0.3750 0.3461 0.7500  2 Tc 2.54, 2 S 2.75
Sb4 0.8750 0.9039 0.7500  2 Tc 2.54, 2 S 2.75
S1 0.5000 0.5000 0.0000  4 Sb 2.75
S2 0.2500 0.7500 0.5000  4 Sb 2.75
Tc1 0.0000 0.0000 0.0000  4 Sb 2.54
Tc2 0.7500 0.2500 0.5000  4 Sb 2.54